Ac3MgAu4 (PBE, optimized geometry); ΔH_f (0 K) = -68.9 kJ/mol of atoms; final energy = -4.093 eV per atom; N(E_F) = 6.65 states/eV per cell
1.0
-0.1747 -3.9632 -1.8087
5.7969 -1.9332 3.6761
-7.3581 0.4710 4.9337
Au Mg Ac
4 1 3
direct
0.3790 0.5895 0.7580
0.6210 0.4105 0.2420
0.6210 0.8315 0.2420
0.3790 0.1685 0.7580
0.5000 0.0000 0.0000
0.1965 0.1965 0.3930
0.0000 0.5000 0.0000
0.8035 0.8035 0.6070

AcMg3Au (PBE, optimized geometry); ΔH_f (0 K) = -24.8 kJ/mol of atoms; final energy = -2.690 eV per atom; N(E_F) = 0.87 states/eV per cell; energy relative to the lowest polymorph listed for this composition = 0.123 eV/atom
1.0
-4.7616 -1.9657 -0.4695
0.7195 -2.7718 4.3078
-1.8886 3.9001 2.8249
Mg Au Ac
3 1 1
direct
0.0000 0.0000 0.5000
0.5000 0.0000 0.0000
0.0000 0.5000 0.0000
0.0000 0.0000 0.0000
0.5000 0.5000 0.5000

Ac2Mg5Au3 (PBE, optimized geometry); ΔH_f (0 K) = -50.0 kJ/mol of atoms; final energy = -3.120 eV per atom; N(E_F) = 12.30 states/eV per cell
1.0
-1.9537 1.7325 3.7513
4.3187 -4.7170 4.4277
11.0134 8.9666 -1.1898
Au Ac Mg
6 4 10
direct
0.9551 0.4810 0.9101
0.6129 0.5226 0.2259
0.0449 0.9810 0.0899
0.7648 0.7096 0.5297
0.2352 0.2096 0.4703
0.3871 0.0226 0.7741
0.4761 0.7763 0.9523
0.5239 0.2763 0.0477
0.1769 0.7115 0.3537
0.8231 0.2115 0.6463
0.2910 0.5201 0.5820
0.7090 0.0201 0.4180
0.9420 0.1084 0.8841
0.1331 0.2316 0.2661
0.2920 0.9000 0.5840
0.8669 0.7316 0.7339
0.0580 0.6084 0.1159
0.5993 0.9037 0.1987
0.4007 0.4037 0.8013
0.7080 0.4000 0.4160

Ac2MgAu3 (PBE, optimized geometry); ΔH_f (0 K) = -68.6 kJ/mol of atoms; final energy = -3.985 eV per atom; N(E_F) = 6.57 states/eV per cell; energy relative to the lowest polymorph listed for this composition = 0.000 eV/atom
1.0
6.3101 -0.4741 0.0000
-0.7188 6.2869 0.0000
-2.7956 -2.9064 8.2874
Au Ac Mg
6 4 2
direct
0.6517 0.1750 0.8267
0.1707 0.1707 0.3415
0.8250 0.3483 0.1733
0.3483 0.8250 0.1733
0.1750 0.6517 0.8267
0.8293 0.8293 0.6585
0.2417 0.2417 0.0000
0.2500 0.7500 0.5000
0.7500 0.2500 0.5000
0.7583 0.7583 0.0000
0.6673 0.6673 0.3346
0.3327 0.3327 0.6654

Ac2MgAu (PBE, optimized geometry); ΔH_f (0 K) = -33.7 kJ/mol of atoms; final energy = -3.621 eV per atom; N(E_F) = 3.35 states/eV per cell; energy relative to the lowest polymorph listed for this composition = 0.072 eV/atom
1.0
-2.6211 0.4673 -4.9997
-1.3953 -4.6538 -2.9122
-5.4381 -1.5049 -0.4985
Ac Mg Au
2 1 1
direct
0.2500 0.2500 0.2500
0.7500 0.7500 0.7500
0.5000 0.5000 0.5000
0.0000 0.0000 0.0000

Ac2MgAu4 (PBE, optimized geometry); ΔH_f (0 K) = -52.3 kJ/mol of atoms; final energy = -3.817 eV per atom; N(E_F) = 4.04 states/eV per cell
1.0
5.0001 0.0000 0.0000
0.0000 5.0001 0.0000
-2.5001 -2.5001 8.0512
Au Ac Mg
4 2 1
direct
0.8308 0.8308 0.6617
0.5000 0.0000 0.0000
0.0000 0.5000 0.0000
0.1692 0.1692 0.3383
0.6359 0.6359 0.2718
0.3641 0.3641 0.7282
0.0000 0.0000 0.0000

Ac3Mg9Au2 (PBE, optimized geometry); ΔH_f (0 K) = -21.8 kJ/mol of atoms; final energy = -2.600 eV per atom; N(E_F) = 11.72 states/eV per cell
1.0
4.8840 0.0000 1.3118
2.0306 8.5222 2.1875
0.1956 -0.3871 9.0194
Mg Au Ac
9 2 3
direct
0.3534 0.0065 0.2866
0.6466 0.9935 0.7134
0.8758 0.8436 0.4048
0.1242 0.5952 0.1564
0.3534 0.2866 0.0065
0.6466 0.7134 0.9935
0.1242 0.1564 0.5952
0.8758 0.4048 0.8436
0.0000 0.5000 0.5000
0.5000 0.3196 0.6804
0.5000 0.6804 0.3196
0.6993 0.3007 0.3007
0.0000 0.0000 0.0000
0.3007 0.6993 0.6993

Ac3Mg2Au3 (PBE, optimized geometry); ΔH_f (0 K) = -59.9 kJ/mol of atoms; final energy = -3.789 eV per atom; N(E_F) = 12.08 states/eV per cell; energy relative to the lowest polymorph listed for this composition = 0.000 eV/atom
1.0
6.2747 0.0000 0.0000
0.0000 7.9865 -4.6110
0.0000 0.0000 9.2220
Ac Au Mg
6 6 4
direct
0.2500 0.2749 0.2749
0.2500 0.0000 0.7251
0.2500 0.7251 0.0000
0.7500 0.0000 0.2749
0.7500 0.7251 0.7251
0.7500 0.2749 0.0000
0.7500 0.0000 0.6100
0.7500 0.3900 0.3900
0.2500 0.3900 0.0000
0.2500 0.6100 0.6100
0.7500 0.6100 0.0000
0.2500 0.0000 0.3900
0.0000 0.6667 0.3333
0.5000 0.3333 0.6667
0.0000 0.3333 0.6667
0.5000 0.6667 0.3333

AcMgAu3 (PBE, optimized geometry); ΔH_f (0 K) = -56.6 kJ/mol of atoms; final energy = -3.694 eV per atom; N(E_F) = 7.72 states/eV per cell
1.0
-6.1176 -2.0867 2.1708
5.1386 0.6830 4.4294
-3.2631 11.6375 1.9911
Ac Au Mg
4 12 4
direct
0.0000 0.0000 0.0000
0.0000 0.0000 0.5000
0.3333 0.6667 0.2500
0.6667 0.3333 0.7500
0.7254 0.8627 0.7500
0.0000 0.5000 0.0000
0.5000 0.0000 0.0000
0.5000 0.5000 0.5000
0.0000 0.5000 0.5000
0.8627 0.1373 0.2500
0.1373 0.8627 0.7500
0.1373 0.2746 0.7500
0.5000 0.0000 0.5000
0.5000 0.5000 0.0000
0.8627 0.7254 0.2500
0.2746 0.1373 0.2500
0.6667 0.3333 0.1386
0.6667 0.3333 0.3614
0.3333 0.6667 0.8614
0.3333 0.6667 0.6386

Ac2Mg3Au2 (PBE, optimized geometry); ΔH_f (0 K) = -52.4 kJ/mol of atoms; final energy = -3.337 eV per atom; N(E_F) = 4.27 states/eV per cell
1.0
4.6266 0.0000 0.0000
-2.3133 5.5856 -0.2732
0.0000 -2.9254 7.4269
Ac Mg Au
2 3 2
direct
0.8591 0.7182 0.2161
0.1409 0.2818 0.7839
0.3666 0.7333 0.5670
0.6334 0.2667 0.4330
0.5000 0.0000 0.0000
0.1497 0.2994 0.2206
0.8503 0.7006 0.7794

AcMgAu (PBE, optimized geometry); ΔH_f (0 K) = -41.8 kJ/mol of atoms; final energy = -3.427 eV per atom; N(E_F) = 2.89 states/eV per cell; energy relative to the lowest polymorph listed for this composition = 0.211 eV/atom
1.0
3.6946 0.0000 0.0000
0.0000 3.6946 0.0000
-1.8473 -1.8473 5.9863
Mg Au Ac
1 1 1
direct
0.2980 0.2980 0.5959
0.6903 0.6903 0.3806
0.0117 0.0117 0.0234

What is the formula in the third record? Ac2Mg5Au3

Which of these has the highest ΔH_f (0 K)? Ac3Mg9Au2